Here is a relaxed YNClF2 crystal from the Alexandria database. Energies are from PBE.

```
5
Lattice="4.2796 0.0000 0.0000 0.0000 4.2796 0.0000 0.0000 0.0000 4.1033" Properties=species:S:1:pos:R:3 pbc="T T T"
Y 0.0000 0.0000 0.0000
N 2.1398 2.1398 0.0000
Cl 2.1398 2.1398 2.0516
F 0.0000 2.1398 2.0516
F 2.1398 0.0000 2.0516
```

Values from the calculation:
DFT total energy   -4.4116 eV per atom
Raw formation energy   -0.336 eV per atom
D(E_F)   2.3 states/eV per cell


Here is a relaxed Rb6NaI8 crystal from the Alexandria database. Energies are from PBE.

```
15
Lattice="10.8114 0.0000 0.0000 -5.4057 9.3630 0.0000 0.0000 0.0000 7.5370" Properties=species:S:1:pos:R:3 pbc="T T T"
Rb -2.0104 3.4821 1.6650
Rb -3.3953 5.8809 5.8720
Rb 4.0208 0.0000 1.6650
Rb 2.0104 3.4821 5.8720
Rb 6.7906 0.0000 5.8720
Rb 3.3953 5.8809 1.6650
Na 0.0000 0.0000 3.7685
I -1.5047 2.6061 5.3313
I -3.9011 6.7568 2.2056
I 3.0093 0.0000 5.3313
I 1.5047 2.6061 2.2056
I 0.0000 6.2420 0.0000
I 5.4057 3.1210 0.0000
I 7.8021 0.0000 2.2056
I 3.9011 6.7568 5.3313
```

Values from the calculation:
DFT total energy   -2.5827 eV per atom
Raw formation energy   -1.281 eV per atom
D(E_F)   26.4 states/eV per cell


Here is a relaxed CaAl2CrGe crystal from the Alexandria database. Energies are from PBE.

```
5
Lattice="5.3286 0.0000 0.0000 0.0000 5.3286 0.0000 0.0000 0.0000 5.2219" Properties=species:S:1:pos:R:3 pbc="T T T"
Ca 0.0000 0.0000 0.0000
Al 0.0000 2.6643 0.0000
Al 2.6643 0.0000 0.0000
Cr 2.6643 2.6643 2.6110
Ge 0.0000 0.0000 2.6110
```

Values from the calculation:
DFT total energy   -2.8634 eV per atom
D(E_F)   4.4 states/eV per cell
Calculated formation energy   1.882 eV per atom


Here is a relaxed Er4Cu2Rh crystal from the Alexandria database. Energies are from PBE.

```
7
Lattice="2.4181 1.3961 7.8202 -2.4181 1.3961 7.8202 0.0000 -2.7921 7.8202" Properties=species:S:1:pos:R:3 pbc="T T T"
Er 0.0000 0.0000 2.9133
Er 0.0000 0.0000 8.8020
Er 0.0000 0.0000 14.6585
Er 0.0000 0.0000 20.5472
Cu 0.0000 0.0000 5.8644
Cu 0.0000 0.0000 17.5961
Rh 0.0000 0.0000 0.0000
```

Values from the calculation:
DFT total energy   -5.1788 eV per atom
D(E_F)   6.2 states/eV per cell
Calculated formation energy   -0.351 eV per atom


Here is a relaxed KBi2PtRh crystal from the Alexandria database. Energies are from PBE.

```
5
Lattice="5.4437 0.0000 0.0000 0.0000 5.4437 0.0000 0.0000 0.0000 5.1848" Properties=species:S:1:pos:R:3 pbc="T T T"
K 0.0000 0.0000 0.0000
Bi 0.0000 2.7218 2.5924
Bi 2.7218 0.0000 2.5924
Pt 2.7218 2.7218 2.5924
Rh 2.7218 2.7218 0.0000
```

Values from the calculation:
DFT total energy   -4.0392 eV per atom
D(E_F)   5.1 states/eV per cell
Calculated formation energy   0.411 eV per atom


Here is a relaxed Te2SF crystal from the Alexandria database. Energies are from PBE.

```
8
Lattice="3.4394 0.0000 0.0000 1.6573 7.3429 0.0000 1.6717 2.7026 8.0348" Properties=species:S:1:pos:R:3 pbc="T T T"
Te 1.6939 4.0593 2.6805
Te 1.6904 1.3527 1.5053
Te 5.0780 8.6928 6.5295
Te 5.0745 5.9862 5.3543
S 3.3607 4.5051 7.2345
S 3.4076 5.5404 0.8002
F 1.6937 2.7863 4.2883
F 5.0746 7.2592 3.7464
```

Values from the calculation:
DFT total energy   -3.5399 eV per atom
Raw formation energy   -0.469 eV per atom
D(E_F)   1.3 states/eV per cell


Here is a relaxed Nd2Pa3Se8 crystal from the Alexandria database. Energies are from PBE.

```
13
Lattice="7.3854 0.0000 0.0000 0.0000 4.1603 0.0000 -2.6666 0.0000 13.4265" Properties=species:S:1:pos:R:3 pbc="T T T"
Nd 1.1349 0.0000 3.3508
Nd 3.5840 0.0000 10.0757
Pa -0.1049 2.0802 10.0683
Pa 3.6927 0.0000 0.0000
Pa 4.8238 2.0802 3.3581
Se -0.2367 2.0802 4.8573
Se -1.2920 0.0000 11.7414
Se 2.4095 2.0802 1.5909
Se 1.0660 0.0000 8.5529
Se 3.6528 0.0000 4.8736
Se 2.3094 2.0802 11.8355
Se 6.0108 0.0000 1.6851
Se 4.9556 2.0802 8.5692
```

Values from the calculation:
DFT total energy   -6.5562 eV per atom
Raw formation energy   -1.487 eV per atom
D(E_F)   14.8 states/eV per cell


Here is a relaxed Y6Te3P2C crystal from the Alexandria database. Energies are from PBE.

```
12
Lattice="3.5067 -6.0692 0.0000 3.5067 6.0692 0.0000 -2.3319 0.0000 7.0111" Properties=species:S:1:pos:R:3 pbc="T T T"
Y 1.0850 1.8768 1.4058
Y -0.1612 0.0000 5.5656
Y 1.0850 -1.8768 1.4058
Y 3.5965 1.8768 5.6053
Y 4.8427 0.0000 1.4455
Y 3.5965 -1.8768 5.6053
Te 2.3408 3.9636 3.5056
Te 2.3408 0.0000 3.5056
Te 2.3408 -3.9636 3.5056
P 3.5067 2.0126 0.0000
P 3.5067 -2.0126 0.0000
C 0.0000 0.0000 0.0000
```

Values from the calculation:
DFT total energy   -7.0324 eV per atom
Raw formation energy   -1.345 eV per atom
D(E_F)   3.4 states/eV per cell


Here is a relaxed RbTiIN2 crystal from the Alexandria database. Energies are from PBE.

```
5
Lattice="4.4267 0.0000 0.0000 0.0000 4.4267 0.0000 0.0000 0.0000 6.1956" Properties=species:S:1:pos:R:3 pbc="T T T"
Rb 0.0000 0.0000 0.0000
Ti 2.2134 2.2134 3.0978
I 0.0000 0.0000 3.0978
N 0.0000 2.2134 0.0000
N 2.2134 0.0000 0.0000
```

Values from the calculation:
DFT total energy   -2.9526 eV per atom
Raw formation energy   2.460 eV per atom
D(E_F)   9.6 states/eV per cell


Here is a relaxed LuHfPb2 crystal from the Alexandria database. Energies are from PBE.

```
4
Lattice="3.3802 0.0000 0.0000 0.0000 3.3802 0.0000 0.0000 0.0000 8.8164" Properties=species:S:1:pos:R:3 pbc="T T T"
Lu 0.0000 0.0000 0.0000
Hf 0.0000 0.0000 4.4082
Pb 1.6901 1.6901 2.2764
Pb 1.6901 1.6901 6.5399
```

Values from the calculation:
DFT total energy   -5.5605 eV per atom
D(E_F)   2.6 states/eV per cell
Calculated formation energy   -0.088 eV per atom


Here is a relaxed MgZr3In crystal from the Alexandria database. Energies are from PBE.

```
20
Lattice="6.4484 -4.4542 0.0000 6.4484 4.4542 0.0000 -6.1962 0.0000 8.0160" Properties=species:S:1:pos:R:3 pbc="T T T"
Mg 0.4040 2.6937 5.5887
Mg 3.1985 2.6937 6.4353
Mg 3.5021 -2.6937 1.5807
Mg 6.2966 -2.6937 2.4273
Zr -1.9453 1.4342 7.4395
Zr -1.4277 0.0978 4.7986
Zr 1.6704 -0.0978 0.7906
Zr 2.6306 1.3580 3.4178
Zr 7.1681 1.3580 0.5902
Zr 1.1528 -1.4342 3.4315
Zr 5.5479 1.4342 4.5845
Zr -0.4675 -1.3580 7.4258
Zr 4.0701 -1.3580 4.5982
Zr 5.0303 0.0978 7.2254
Zr 8.1284 -0.0978 3.2174
Zr 8.6460 -1.4342 0.5765
In 4.8994 3.2672 2.0040
In 1.8013 0.0561 6.0120
In 4.8994 -0.0561 2.0040
In 1.8013 -3.2672 6.0120
```

Values from the calculation:
DFT total energy   -6.0089 eV per atom
D(E_F)   17.9 states/eV per cell
Calculated formation energy   -0.013 eV per atom


Here is a relaxed FeRhAuN2 crystal from the Alexandria database. Energies are from PBE.

```
5
Lattice="3.7600 0.0000 0.0000 0.0000 3.7600 0.0000 0.0000 0.0000 5.4975" Properties=species:S:1:pos:R:3 pbc="T T T"
Fe 0.0000 0.0000 0.0000
Rh 0.0000 0.0000 2.7488
Au 1.8800 1.8800 0.0000
N 0.0000 1.8800 2.7488
N 1.8800 0.0000 2.7488
```

Values from the calculation:
DFT total energy   -5.8602 eV per atom
Raw formation energy   1.288 eV per atom
D(E_F)   4.1 states/eV per cell


Here is a relaxed Ni4SbAs crystal from the Alexandria database. Energies are from PBE.

```
6
Lattice="0.0000 3.4615 3.4615 3.4615 0.0000 3.4615 3.4615 3.4615 0.0000" Properties=species:S:1:pos:R:3 pbc="T T T"
Ni 0.8675 0.8675 0.8675
Ni 2.5940 2.5940 0.8675
Ni 2.5940 0.8675 2.5940
Ni 0.8675 2.5940 2.5940
Sb 5.1922 5.1922 5.1922
As 3.4615 3.4615 3.4615
```

Values from the calculation:
DFT total energy   -5.1918 eV per atom
Raw formation energy   0.124 eV per atom
D(E_F)   5.4 states/eV per cell


Here is a relaxed Ba3FeCo crystal from the Alexandria database. Energies are from PBE.

```
5
Lattice="5.6879 0.0000 0.0000 0.0000 5.6879 0.0000 0.0000 0.0000 5.6879" Properties=species:S:1:pos:R:3 pbc="T T T"
Ba 0.0000 0.0000 2.8439
Ba 0.0000 2.8439 0.0000
Ba 2.8439 0.0000 0.0000
Fe 0.0000 0.0000 0.0000
Co 2.8439 2.8439 2.8439
```

Values from the calculation:
DFT total energy   -3.3190 eV per atom
D(E_F)   24.2 states/eV per cell
Calculated formation energy   0.948 eV per atom


Here is a relaxed EuAgRhPb crystal from the Alexandria database. Energies are from PBE.

```
4
Lattice="0.0000 3.5318 3.5318 3.5318 0.0000 3.5318 3.5318 3.5318 0.0000" Properties=species:S:1:pos:R:3 pbc="T T T"
Eu 0.0000 0.0000 0.0000
Ag 1.7659 1.7659 1.7659
Rh 5.2977 5.2977 5.2977
Pb 3.5318 3.5318 3.5318
```

Values from the calculation:
DFT total energy   -6.2176 eV per atom
D(E_F)   11.4 states/eV per cell
Calculated formation energy   -0.171 eV per atom


Here is a relaxed Rh5C4 crystal from the Alexandria database. Energies are from PBE.

```
18
Lattice="6.0017 0.0000 0.0000 -3.0008 5.1976 0.0000 0.0000 0.0000 6.2101" Properties=species:S:1:pos:R:3 pbc="T T T"
Rh -0.7678 1.3298 1.5525
Rh -2.2331 3.8678 4.6576
Rh 1.5355 0.0000 1.5525
Rh 0.7678 1.3298 4.6576
Rh 0.0000 3.4651 0.0000
Rh 0.0000 3.4651 3.1051
Rh 3.0008 1.7325 0.0000
Rh 3.0008 1.7325 3.1051
Rh 4.4662 0.0000 4.6576
Rh 2.2331 3.8678 1.5525
C 0.0000 0.0000 0.0000
C 0.0000 0.0000 3.1051
C -1.2473 2.1604 4.6576
C -1.7535 3.0372 1.5525
C 2.4946 0.0000 4.6576
C 1.2473 2.1604 1.5525
C 3.5070 0.0000 1.5525
C 1.7535 3.0372 4.6576
```

Values from the calculation:
DFT total energy   -7.3241 eV per atom
D(E_F)   11.4 states/eV per cell
Calculated formation energy   0.860 eV per atom


Here is a relaxed AcCePu2S4 crystal from the Alexandria database. Energies are from PBE.

```
8
Lattice="7.0247 0.0000 0.0000 0.0000 4.0470 0.0000 -2.3297 0.0000 6.6969" Properties=species:S:1:pos:R:3 pbc="T T T"
Ac 0.0000 0.0000 0.0000
Ce 3.5124 2.0235 0.0000
Pu -1.1649 2.0235 3.3484
Pu 2.3475 0.0000 3.3484
S 0.0662 0.0000 4.9316
S 1.2334 2.0235 1.8057
S 3.4616 2.0235 4.8912
S 4.6288 0.0000 1.7653
```

Values from the calculation:
DFT total energy   -8.7727 eV per atom
Raw formation energy   -1.871 eV per atom
D(E_F)   17.1 states/eV per cell


Here is a relaxed Nb2AsH crystal from the Alexandria database. Energies are from PBE.

```
4
Lattice="0.0000 3.0725 3.0725 3.0725 0.0000 3.0725 3.0725 3.0725 0.0000" Properties=species:S:1:pos:R:3 pbc="T T T"
Nb 1.5362 1.5362 1.5362
Nb 4.6087 4.6087 4.6087
As 0.0000 0.0000 0.0000
H 3.0725 3.0725 3.0725
```

Values from the calculation:
DFT total energy   -6.8831 eV per atom
D(E_F)   4.3 states/eV per cell


Here is a relaxed NbIrSe2Br crystal from the Alexandria database. Energies are from PBE.

```
5
Lattice="4.9192 0.0000 0.0000 0.0000 4.9192 0.0000 0.0000 0.0000 4.9055" Properties=species:S:1:pos:R:3 pbc="T T T"
Nb 0.0000 0.0000 0.0000
Ir 2.4596 2.4596 2.4527
Se 0.0000 2.4596 2.4527
Se 2.4596 0.0000 2.4527
Br 2.4596 2.4596 0.0000
```

Values from the calculation:
DFT total energy   -4.7241 eV per atom
Raw formation energy   0.790 eV per atom
D(E_F)   4.7 states/eV per cell


Here is a relaxed Na4Tl5Cd2 crystal from the Alexandria database. Energies are from PBE.

```
11
Lattice="8.2971 0.0000 0.0000 0.0000 3.4832 0.0000 -0.8411 0.0000 10.7044" Properties=species:S:1:pos:R:3 pbc="T T T"
Na 1.1002 0.0000 4.1457
Na 1.5334 0.0000 10.0423
Na 5.9225 0.0000 0.6622
Na 6.3558 0.0000 6.5587
Tl 0.9670 1.7416 7.0856
Tl 3.4280 1.7416 2.1201
Tl 3.7280 1.7416 5.3522
Tl 4.0280 1.7416 8.5843
Tl 6.4890 1.7416 3.6188
Cd 0.3994 1.7416 1.4391
Cd 7.0566 1.7416 9.2653
```

Values from the calculation:
DFT total energy   -1.7985 eV per atom
D(E_F)   5.9 states/eV per cell
Calculated formation energy   -0.077 eV per atom


Here is a relaxed Sr2YSc crystal from the Alexandria database. Energies are from PBE.

```
4
Lattice="3.7212 0.0000 0.0000 0.0000 3.7212 0.0000 0.0000 0.0000 11.1043" Properties=species:S:1:pos:R:3 pbc="T T T"
Sr 0.0000 0.0000 2.6493
Sr 0.0000 0.0000 8.4551
Y 1.8606 1.8606 5.5522
Sc 1.8606 1.8606 0.0000
```

Values from the calculation:
DFT total energy   -3.7008 eV per atom
D(E_F)   7.2 states/eV per cell
Calculated formation energy   0.339 eV per atom


Here is a relaxed Pm7Sn2Pt2 crystal from the Alexandria database. Energies are from PBE.

```
11
Lattice="4.2208 -5.6794 0.0000 4.2208 5.6794 0.0000 0.0000 0.0000 7.1632" Properties=species:S:1:pos:R:3 pbc="T T T"
Pm 0.0000 0.0000 0.0000
Pm 2.1104 2.8397 1.8384
Pm 2.1104 2.8397 5.3248
Pm 2.1104 -2.8397 1.8384
Pm 2.1104 -2.8397 5.3248
Pm 4.2208 0.0000 1.7411
Pm 4.2208 0.0000 5.4221
Sn 1.4793 0.0000 3.5816
Sn 6.9623 0.0000 3.5816
Pt 4.2208 2.4526 0.0000
Pt 4.2208 -2.4526 0.0000
```

Values from the calculation:
DFT total energy   -5.4488 eV per atom
D(E_F)   11.7 states/eV per cell
Calculated formation energy   -0.600 eV per atom


Here is a relaxed ZrHIrRh2 crystal from the Alexandria database. Energies are from PBE.

```
5
Lattice="3.9411 0.0000 0.0000 0.0000 3.9411 0.0000 0.0000 0.0000 4.1808" Properties=species:S:1:pos:R:3 pbc="T T T"
Zr 0.0000 0.0000 0.0000
H 0.0000 0.0000 2.0904
Ir 1.9706 1.9706 0.0000
Rh 0.0000 1.9706 2.0904
Rh 1.9706 0.0000 2.0904
```

Values from the calculation:
DFT total energy   -7.6471 eV per atom
D(E_F)   2.2 states/eV per cell


Here is a relaxed Th4Te3As crystal from the Alexandria database. Energies are from PBE.

```
16
Lattice="7.6514 0.0000 0.0000 0.0000 9.0599 0.0000 -2.6589 0.0000 7.0405" Properties=species:S:1:pos:R:3 pbc="T T T"
Th 1.7552 1.0445 0.0299
Th 0.4879 3.2710 3.3873
Th -0.8416 5.7889 6.9075
Th 0.4257 8.0154 3.5502
Th 4.5668 1.0445 3.4903
Th 5.8341 3.2710 0.1330
Th 4.5047 5.7889 3.6533
Th 3.2374 8.0154 7.0106
Te -1.9942 3.3723 5.2804
Te -0.6647 5.6876 1.7601
Te 1.8315 1.1620 5.2804
Te 3.1610 3.4548 1.7601
Te 1.8315 5.6051 5.2804
Te 3.1610 7.8979 1.7601
As -0.6647 1.0662 1.7601
As -1.9942 7.9937 5.2804
```

Values from the calculation:
DFT total energy   -6.5924 eV per atom
Raw formation energy   -1.123 eV per atom
D(E_F)   12.5 states/eV per cell